(1)
First-principles (PBE-GGA) data for U2Nb2S5 after structural relaxation, as listed in Alexandria.

Calculated values
energy relative to the elements, uncorrected = -8.98 eV/f.u.
ρ = 7.04 g/cm3

Cell: 13.573 4.488 7.508 Å, 90.00 121.95 90.00°
Space group C2/m (No. 12)
Symmetry-distinct sites (fractional):
U (0.113, 0.000, 0.464) x4
Nb (0.058, 0.500, 0.892) x4
S (0.000, 0.500, 0.500) x2
S (0.120, 0.000, 0.854) x4
S (0.153, 0.500, 0.282) x4

---

(2)
First-principles (PBE-GGA) data for Cu3NiSe6 after structural relaxation, as listed in Alexandria.

Calculated values
energy relative to the elements, uncorrected = 0.03 eV/f.u.
ρ = 5.75 g/cm3

Cell: 10.092 11.083 3.735 Å, 90.00 90.00 90.00°
Space group Cmmm (No. 65)
Symmetry-distinct sites (fractional):
Cu (0.000, 0.000, 0.000) x2
Cu (0.250, 0.250, 0.500) x4
Ni (0.000, 0.500, 0.000) x2
Se (0.000, 0.368, 0.500) x4
Se (0.195, 0.118, 0.000) x8

---

(3)
First-principles (PBE-GGA) data for CsNa2Au after structural relaxation, as listed in Alexandria.

Calculated values
offset from the most stable computed form = 46.7 meV/atom
ρ = 3.82 g/cm3
ΔE_f = -0.53 eV per formula unit

Cell: 5.2304 5.2304 20.6673 Å, 90.00 90.00 120.00°
Space group R-3m (No. 166, hexagonal axes)
Symmetry-distinct sites (fractional):
Cs (0.0000, 0.0000, 0.0000) x3
Na (0.0000, 0.0000, 0.1966) x6
Au (0.0000, 0.0000, 0.5000) x3

---

(4)
First-principles (PBE-GGA) data for Y2MoRh after structural relaxation, as listed in Alexandria.

Calculated values
ρ = 7.24 g/cm3
ΔE_f = 0.69 eV per formula unit

Cell: 3.3584 3.3584 26.5340 Å, 90.00 90.00 120.00°
Space group R-3m (No. 166, hexagonal axes)
Symmetry-distinct sites (fractional):
Y (0.0000, 0.0000, 0.2465) x6
Mo (0.0000, 0.0000, 0.0000) x3
Rh (0.0000, 0.0000, 0.5000) x3

---

(5)
First-principles (PBE-GGA) data for TbSm2Ho6Sc3 after structural relaxation, as listed in Alexandria.

Calculated values
ρ = 7.35 g/cm3
ΔE_f = 0.53 eV per formula unit

Cell: 6.050 10.473 11.475 Å, 90.00 100.11 90.00°
Space group C2/m (No. 12)
Symmetry-distinct sites (fractional):
Tb (0.000, 0.000, 0.000) x2
Sm (0.000, 0.333, 0.000) x4
Ho (0.246, 0.000, 0.739) x4
Ho (0.246, 0.333, 0.739) x8
Sc (0.000, 0.167, 0.500) x4
Sc (0.000, 0.500, 0.500) x2

---

(6)
First-principles (PBE-GGA) data for AgOs2Pt after structural relaxation, as listed in Alexandria.

Calculated values
ρ = 18.50 g/cm3
ΔE_f = 2.66 eV per formula unit

Cell: 3.836 3.836 4.169 Å, 90.00 90.00 90.00°
Space group P4/mmm (No. 123)
Symmetry-distinct sites (fractional):
Ag (0.000, 0.000, 0.000) x1
Os (0.000, 0.500, 0.500) x2
Pt (0.500, 0.500, 0.000) x1

---

(7)
First-principles (PBE-GGA) data for Tb2PdCl after structural relaxation, as listed in Alexandria.

Calculated values
offset from the most stable computed form = 0.0 meV/atom
energy relative to the elements, uncorrected = -4.36 eV/f.u.
ρ = 5.99 g/cm3

Cell: 4.2394 4.2394 24.5677 Å, 90.00 90.00 120.00°
Space group R-3m (No. 166, hexagonal axes)
Symmetry-distinct sites (fractional):
Tb (0.0000, 0.0000, 0.1089) x6
Pd (0.0000, 0.0000, 0.5000) x3
Cl (0.0000, 0.0000, 0.0000) x3

---

(8)
First-principles (PBE-GGA) data for Nb2BRh8 after structural relaxation, as listed in Alexandria.

Calculated values
ρ = 10.73 g/cm3
ΔE_f = -3.56 eV per formula unit

Cell: 4.437 5.559 12.796 Å, 90.00 90.00 90.00°
Space group Immm (No. 71)
Symmetry-distinct sites (fractional):
Nb (0.000, 0.000, 0.188) x4
B (0.000, 0.000, 0.500) x2
Rh (0.000, 0.251, 0.375) x8
Rh (0.000, 0.254, 0.000) x4
Rh (0.000, 0.500, 0.183) x4

---

(9)
First-principles (PBE-GGA) data for MgPaInSn after structural relaxation, as listed in Alexandria.

Calculated values
offset from the most stable computed form = 175.7 meV/atom
ρ = 8.11 g/cm3
ΔE_f = 0.00 eV per formula unit

Cell: 7.371 7.371 7.371 Å, 90.00 90.00 90.00°
Space group F-43m (No. 216)
Symmetry-distinct sites (fractional):
Mg (0.000, 0.000, 0.000) x4
Pa (0.000, 0.000, 0.500) x4
In (0.250, 0.250, 0.250) x4
Sn (0.250, 0.250, 0.750) x4

---

(10)
First-principles (PBE-GGA) data for CdBIO2 after structural relaxation, as listed in Alexandria.

Calculated values
offset from the most stable computed form = 0.0 meV/atom
energy relative to the elements, uncorrected = 2.06 eV/f.u.
ρ = 6.50 g/cm3

Cell: 3.810 3.810 4.969 Å, 90.00 90.00 90.00°
Space group P4/mmm (No. 123)
Symmetry-distinct sites (fractional):
Cd (0.000, 0.000, 0.000) x1
B (0.500, 0.500, 0.500) x1
I (0.500, 0.500, 0.000) x1
O (0.000, 0.500, 0.500) x2

---

(11)
First-principles (PBE-GGA) data for BaCaAcLa after structural relaxation, as listed in Alexandria.

Calculated values
ρ = 4.98 g/cm3
ΔE_f = 0.53 eV per formula unit

Cell: 8.983 8.983 8.983 Å, 90.00 90.00 90.00°
Space group F-43m (No. 216)
Symmetry-distinct sites (fractional):
Ba (0.000, 0.000, 0.000) x4
Ca (0.250, 0.250, 0.750) x4
Ac (0.250, 0.250, 0.250) x4
La (0.000, 0.000, 0.500) x4

---

(12)
First-principles (PBE-GGA) data for NaPmMgCu after structural relaxation, as listed in Alexandria.

Calculated values
ρ = 4.68 g/cm3
ΔE_f = 0.38 eV per formula unit

Cell: 7.135 7.135 7.135 Å, 90.00 90.00 90.00°
Space group F-43m (No. 216)
Symmetry-distinct sites (fractional):
Na (0.000, 0.000, 0.000) x4
Pm (0.250, 0.250, 0.250) x4
Mg (0.250, 0.250, 0.750) x4
Cu (0.000, 0.000, 0.500) x4